[1]
Here is a relaxed CsTmPb crystal from the Alexandria database. Energies are from GGA-PBE.

formation enthalpy at 0 K = -0.10 eV per atom
E = -18.7 eV per cell

Cell and atoms, written as CIF:
```
data_CsTmPb
_cell_length_a 5.2619
_cell_length_b 5.2619
_cell_length_c 13.0806
_cell_angle_alpha 78.40
_cell_angle_beta 78.40
_cell_angle_gamma 60.00
_space_group_name_H-M_alt 'P 1'
_space_group_IT_number 1
_space_group_name_Hall 'P 1'
loop_
_atom_site_label
_atom_site_type_symbol
_atom_site_fract_x
_atom_site_fract_y
_atom_site_fract_z
Tm1 Tm 0.3043 0.3043 0.0871
Tm2 Tm 0.6957 0.6957 0.9129
Cs1 Cs 0.1135 0.1135 0.6595
Cs2 Cs 0.8865 0.8865 0.3405
Pb1 Pb 0.3856 0.3856 0.8432
Pb2 Pb 0.6144 0.6144 0.1568
```

[2]
Here is a relaxed CsTmPb crystal from the Alexandria database. Energies are from GGA-PBE.

formation enthalpy at 0 K = -0.01 eV per atom
E = -9.1 eV per cell

Cell and atoms, written as CIF:
```
data_CsTmPb
_cell_length_a 4.3086
_cell_length_b 4.3086
_cell_length_c 7.8955
_cell_angle_alpha 105.83
_cell_angle_beta 105.83
_cell_angle_gamma 90.00
_space_group_name_H-M_alt 'P 1'
_space_group_IT_number 1
_space_group_name_Hall 'P 1'
loop_
_atom_site_label
_atom_site_type_symbol
_atom_site_fract_x
_atom_site_fract_y
_atom_site_fract_z
Pb1 Pb 0.7289 0.7289 0.4579
Cs1 Cs 0.0062 0.0062 0.0124
Tm1 Tm 0.2649 0.2649 0.5298
```

[3]
Here is a relaxed CsTmPb2 crystal from the Alexandria database. Energies are from GGA-PBE.

formation enthalpy at 0 K = -0.28 eV per atom
E = -13.9 eV per cell

Cell and atoms, written as CIF:
```
data_CsTmPb2
_cell_length_a 4.1096
_cell_length_b 4.1096
_cell_length_c 8.6884
_cell_angle_alpha 90.00
_cell_angle_beta 90.00
_cell_angle_gamma 90.00
_space_group_name_H-M_alt 'P 1'
_space_group_IT_number 1
_space_group_name_Hall 'P 1'
loop_
_atom_site_label
_atom_site_type_symbol
_atom_site_fract_x
_atom_site_fract_y
_atom_site_fract_z
Pb1 Pb 0.0000 0.0000 0.8200
Pb2 Pb 0.0000 0.0000 0.1800
Cs1 Cs 0.5000 0.5000 0.5000
Tm1 Tm 0.5000 0.5000 0.0000
```

[4]
Here is a relaxed CsTmPb2 crystal from the Alexandria database. Energies are from GGA-PBE.

formation enthalpy at 0 K = -0.13 eV per atom
E = -13.3 eV per cell

Cell and atoms, written as CIF:
```
data_CsTmPb2
_cell_length_a 3.8252
_cell_length_b 3.8252
_cell_length_c 11.4801
_cell_angle_alpha 80.41
_cell_angle_beta 80.41
_cell_angle_gamma 60.00
_space_group_name_H-M_alt 'P 1'
_space_group_IT_number 1
_space_group_name_Hall 'P 1'
loop_
_atom_site_label
_atom_site_type_symbol
_atom_site_fract_x
_atom_site_fract_y
_atom_site_fract_z
Pb1 Pb 0.7386 0.7386 0.7841
Pb2 Pb 0.2614 0.2614 0.2159
Cs1 Cs 0.5000 0.5000 0.5000
Tm1 Tm 0.0000 0.0000 0.0000
```

[5]
Here is a relaxed Cs4TmPb4 crystal from the Alexandria database. Energies are from GGA-PBE.

formation enthalpy at 0 K = 0.11 eV per atom
E = -21.8 eV per cell

Cell and atoms, written as CIF:
```
data_Cs4TmPb4
_cell_length_a 7.8687
_cell_length_b 10.9211
_cell_length_c 7.8687
_cell_angle_alpha 68.88
_cell_angle_beta 90.00
_cell_angle_gamma 111.12
_space_group_name_H-M_alt 'P 1'
_space_group_IT_number 1
_space_group_name_Hall 'P 1'
loop_
_atom_site_label
_atom_site_type_symbol
_atom_site_fract_x
_atom_site_fract_y
_atom_site_fract_z
Cs1 Cs 0.1760 0.7043 0.4716
Cs2 Cs 0.5284 0.7043 0.8240
Cs3 Cs 0.4716 0.2957 0.5284
Cs4 Cs 0.8240 0.2957 0.1760
Tm1 Tm 0.0000 0.0000 0.0000
Pb1 Pb 0.2792 0.2835 0.9957
Pb2 Pb 0.0043 0.2835 0.7208
Pb3 Pb 0.9957 0.7165 0.0043
Pb4 Pb 0.7208 0.7165 0.2792
```

[6]
Here is a relaxed CsTmPb crystal from the Alexandria database. Energies are from GGA-PBE.

formation enthalpy at 0 K = -0.22 eV per atom
E = -19.4 eV per cell

Cell and atoms, written as CIF:
```
data_CsTmPb
_cell_length_a 4.2829
_cell_length_b 4.2829
_cell_length_c 15.2000
_cell_angle_alpha 98.10
_cell_angle_beta 98.10
_cell_angle_gamma 90.00
_space_group_name_H-M_alt 'P 1'
_space_group_IT_number 1
_space_group_name_Hall 'P 1'
loop_
_atom_site_label
_atom_site_type_symbol
_atom_site_fract_x
_atom_site_fract_y
_atom_site_fract_z
Cs1 Cs 0.5861 0.5861 0.1722
Cs2 Cs 0.4139 0.4139 0.8278
Tm1 Tm 0.2851 0.2851 0.5702
Tm2 Tm 0.7149 0.7149 0.4298
Pb1 Pb 0.1791 0.1791 0.3581
Pb2 Pb 0.8209 0.8209 0.6419
```

[7]
Here is a relaxed CsTm4Pb5 crystal from the Alexandria database. Energies are from GGA-PBE.

formation enthalpy at 0 K = -0.30 eV per atom
E = -40.3 eV per cell

Cell and atoms, written as CIF:
```
data_CsTm4Pb5
_cell_length_a 4.0088
_cell_length_b 4.0088
_cell_length_c 19.4282
_cell_angle_alpha 90.00
_cell_angle_beta 90.00
_cell_angle_gamma 90.00
_space_group_name_H-M_alt 'P 1'
_space_group_IT_number 1
_space_group_name_Hall 'P 1'
loop_
_atom_site_label
_atom_site_type_symbol
_atom_site_fract_x
_atom_site_fract_y
_atom_site_fract_z
Cs1 Cs 0.0000 0.0000 0.0000
Tm1 Tm 0.0000 0.0000 0.2292
Tm2 Tm 0.0000 0.0000 0.4097
Tm3 Tm 0.0000 0.0000 0.5903
Tm4 Tm 0.0000 0.0000 0.7708
Pb1 Pb 0.5000 0.5000 0.1474
Pb2 Pb 0.5000 0.5000 0.3201
Pb3 Pb 0.5000 0.5000 0.5000
Pb4 Pb 0.5000 0.5000 0.6799
Pb5 Pb 0.5000 0.5000 0.8526
```

[8]
Here is a relaxed Cs3VPb crystal from the Alexandria database. Energies are from GGA-PBE.

formation enthalpy at 0 K = 0.93 eV per atom
E = -10.8 eV per cell

Cell and atoms, written as CIF:
```
data_Cs3VPb
_cell_length_a 6.7648
_cell_length_b 6.7648
_cell_length_c 6.7648
_cell_angle_alpha 90.00
_cell_angle_beta 90.00
_cell_angle_gamma 90.00
_space_group_name_H-M_alt 'P 1'
_space_group_IT_number 1
_space_group_name_Hall 'P 1'
loop_
_atom_site_label
_atom_site_type_symbol
_atom_site_fract_x
_atom_site_fract_y
_atom_site_fract_z
Pb1 Pb 0.5000 0.5000 0.5000
Cs1 Cs 0.0000 0.5000 0.0000
Cs2 Cs 0.0000 0.0000 0.5000
Cs3 Cs 0.5000 0.0000 0.0000
V1 V 0.0000 0.0000 0.0000
```